# 1
TaFeAu2 | Alexandria via LeMat-Bulk | PBE | relaxed; relative energy among the computed polymorphs = 352 meV/atom
1.0
0.000 3.189 3.189
3.189 0.000 3.189
3.189 3.189 0.000
Ta Au Fe
1 2 1
direct
0.500 0.500 0.500 Ta
0.250 0.250 0.250 Au
0.750 0.750 0.750 Au
0.000 0.000 0.000 Fe

=====

# 2
A relaxed structure of PdRuRh4, computed with PBE.

```
PdRuRh4
1.0
-2.140 -0.677 -1.538
-1.517 -0.296 2.240
-3.087 11.158 -0.617
Rh Ru Pd
4 1 1
direct
0.000 0.000 0.671 Rh
0.500 0.500 0.163 Rh
0.500 0.500 0.837 Rh
0.000 0.000 0.329 Rh
0.000 0.000 0.000 Ru
0.500 0.500 0.500 Pd
```

=====

The energy of formation from the pure elements results, record by record, are as follows: 0.365 0.046 eV/atom.